No. 1
The following is a PBE calculation of a relaxed NpIn3Au3 crystal, from Alexandria via LeMat-Bulk.

Unit cell a=7.519 b=7.519 c=7.519 alpha=90.00 beta=90.00 gamma=90.00
Each line ends with the local moment (μB).
Positions (direct):
Np 0.500 0.500 0.500  4.60
Np 0.000 0.000 0.000  4.60
Au 0.250 0.000 0.500  0.02
Au 0.000 0.500 0.250  0.02
Au 0.500 0.750 0.000  0.02
Au 0.750 0.000 0.500  0.02
Au 0.000 0.500 0.750  0.02
Au 0.500 0.250 0.000  0.02
In 0.000 0.250 0.500  0.02
In 0.000 0.750 0.500  0.02
In 0.500 0.000 0.750  0.02
In 0.750 0.500 0.000  0.02
In 0.500 0.000 0.250  0.02
In 0.250 0.500 0.000  0.02

Properties
The calculated formation energy is 2.4 eV per formula unit.

---

No. 2
The following is a PBE calculation of a relaxed Tb3ThCo crystal, from Alexandria via LeMat-Bulk.

Unit cell a=5.280 b=5.280 c=5.280 alpha=90.00 beta=90.00 gamma=90.00
Each line ends with the local moment (μB).
Positions (direct):
Co 0.000 0.000 0.000  0.08
Tb 0.000 0.500 0.000  0.03
Tb 0.000 0.000 0.500  0.03
Tb 0.500 0.000 0.000  0.03
Th 0.500 0.500 0.500  0.12

Properties
The calculated formation energy is 0.5 eV per formula unit. For the energy relative to the lowest polymorph listed for this composition, the calculation gives 187 meV/atom.

---

No. 3
The following is a PBE calculation of a relaxed La2LuSi crystal, from Alexandria via LeMat-Bulk.

Unit cell a=4.853 b=4.715 c=4.715 alpha=90.00 beta=90.00 gamma=90.00
Positions (direct):
Si 0.500 0.500 0.500
Lu 0.500 0.000 0.000
La 0.000 0.000 0.500
La 0.000 0.500 0.000

---

| no. | total energy (eV per atom) | volume (A^3/atom) |
| --- | --- | --- |
| 1 | -4.083 | 30.36 |
| 2 | -5.586 | 29.45 |
| 3 | -5.195 | 26.97 |